1.
## KCaOs2F (meta-GGA SCAN)

Data for KCaOs2F at its PBEsol-relaxed geometry.

space-group type: No. 123
E_tot: -32.107 eV per atom

abc: 4.3928 4.3928 4.7831
angles: 90.00 90.00 90.00
Site moments in Bohr magnetons follow the coordinates.
Atoms (fractional coordinates):
Ca  0.0000  0.0000  0.5000  -0.02
Os  0.0000  0.5000  0.0000  0.82
Os  0.5000  0.0000  0.0000  0.82
K  0.5000  0.5000  0.5000  -0.01
F  0.0000  0.0000  0.0000  -0.01

2.
## PtAuSe2 (meta-GGA SCAN)

Data for PtAuSe2 at its PBEsol-relaxed geometry.

space-group type: No. 65
E_tot: -44.477 eV per atom

abc: 2.8252 2.8252 9.6955
angles: 90.00 90.00 111.42
Atoms (fractional coordinates):
Au  0.5000  0.5000  0.5000
Pt  0.5000  0.5000  0.0000
Se  0.0000  0.0000  0.2167
Se  0.0000  0.0000  0.7833

3.
## HfRhAu2 (meta-GGA SCAN)

Data for HfRhAu2 at its PBEsol-relaxed geometry.

space-group type: No. 225
E_tot: -59.165 eV per atom
formation energy: -0.4751 eV/atom

abc: 4.5594 4.5594 4.5594
angles: 60.00 60.00 60.00
Atoms (fractional coordinates):
Hf  0.5000  0.5000  0.5000
Au  0.2500  0.2500  0.2500
Au  0.7500  0.7500  0.7500
Rh  0.0000  0.0000  0.0000

4.
## LaAlGe3 (meta-GGA SCAN)

Data for LaAlGe3 at its PBEsol-relaxed geometry.

space-group type: No. 221
E_tot: -21.700 eV per atom
formation energy: -0.0765 eV/atom

abc: 4.8402 4.8402 4.8402
angles: 90.00 90.00 90.00
Atoms (fractional coordinates):
Ge  0.0000  0.5000  0.0000
Ge  0.0000  0.0000  0.5000
Ge  0.5000  0.0000  0.0000
Al  0.0000  0.0000  0.0000
La  0.5000  0.5000  0.5000

5.
## TiAgTeO2 (meta-GGA SCAN)

Data for TiAgTeO2 at its PBEsol-relaxed geometry.

space-group type: No. 123
E_tot: -20.688 eV per atom

abc: 3.7814 3.7814 6.3329
angles: 90.00 90.00 90.00
Site moments in Bohr magnetons follow the coordinates.
Atoms (fractional coordinates):
Te  0.5000  0.5000  0.5000  -0.19
O  0.0000  0.5000  0.0000  -0.11
O  0.5000  0.0000  0.0000  -0.11
Ag  0.0000  0.0000  0.5000  -0.01
Ti  0.0000  0.0000  0.0000  0.09

6.
## HgSbMoI2 (meta-GGA SCAN)

Data for HgSbMoI2 at its PBEsol-relaxed geometry.

ΔE to the lowest computed polymorph: 256 meV/atom
space-group type: No. 123
E_tot: -41.609 eV per atom

abc: 5.5192 5.6964 5.6964
angles: 90.00 90.00 90.00
Site moments in Bohr magnetons follow the coordinates.
Atoms (fractional coordinates):
I  0.0000  0.0000  0.5000  -0.08
I  0.0000  0.5000  0.0000  -0.08
Sb  0.5000  0.0000  0.0000  -0.52
Mo  0.5000  0.5000  0.5000  4.23
Hg  0.0000  0.0000  0.0000  -0.01

The calculation returns the following magnetization values, one per record and in order: 1.787, 0.000, 0.000, 0.000, 0.433, 3.397 μB/cell.